Density functional theory data (GGA+U) for an optimized crystal structure of LiCo3O6.

Computed properties:
As for the total energy: -5.6980 eV per atom. The energy above the most stable polymorph in this dataset comes out at 1.7 kJ/mol of atoms.

a b c (Å): 4.911 8.369 5.245
angles (deg): 90.00 108.46 90.00
Space group C2/m (No. 12)
Symmetry-distinct sites (fractional):
Li: 0.000 0.000 0.000
Co: 0.000 0.168 0.500
Co: 0.000 0.500 0.500
O: 0.226 0.000 0.693
O: 0.237 0.337 0.696